1.
Density functional theory data (GGA-PBE) for a relaxed Pr2Fe20Si2C crystal.

- DOS at the Fermi energy (states/eV per atom) = 0.805
- formation energy (no corrections) (eV per atom) = -0.088
- crystal system = triclinic
- electronic total energy (eV per atom) = -8.043

a = 6.3975 Å, b = 7.7927 Å, c = 7.8392 Å
α = 80.06°, β = 66.11°, γ = 66.42°
Fractional coordinates of all 25 atoms:
Pr: 0.1299 0.2460 0.2488
Pr: 0.8701 0.7540 0.7512
Fe: 0.0000 0.0000 0.0000
Fe: 0.0582 0.0776 0.6634
Fe: 0.0661 0.6745 0.0841
Fe: 0.2257 0.5819 0.3344
Fe: 0.2387 0.3239 0.5778
Fe: 0.3171 0.8263 0.4193
Fe: 0.3219 0.4195 0.8237
Fe: 0.3527 0.0774 0.8202
Fe: 0.3609 0.8354 0.0802
Fe: 0.3778 0.7512 0.7478
Fe: 0.5000 0.5000 0.0000
Fe: 0.6222 0.2488 0.2522
Fe: 0.6391 0.1646 0.9198
Fe: 0.6473 0.9226 0.1798
Fe: 0.6781 0.5805 0.1763
Fe: 0.6829 0.1737 0.5807
Fe: 0.7613 0.6761 0.4222
Fe: 0.7743 0.4181 0.6656
Fe: 0.9339 0.3255 0.9159
Fe: 0.9418 0.9224 0.3366
Si: 0.5000 0.0000 0.5000
Si: 0.5000 0.5000 0.5000
C: 0.0000 0.5000 0.0000

=====

2.
Density functional theory data (GGA-PBE) for a relaxed KNaSnGe crystal.

- DOS at the Fermi energy (states/eV per atom) = 0.576
- crystal system = cubic
- electronic total energy (eV per atom) = -2.749

a = 5.4042 Å, b = 5.4042 Å, c = 5.4042 Å
α = 60.00°, β = 60.00°, γ = 60.00°
Fractional coordinates of all 4 atoms:
K: 0.0000 0.0000 0.0000
Na: 0.2500 0.2500 0.2500
Sn: 0.5000 0.5000 0.5000
Ge: 0.7500 0.7500 0.7500

=====

3.
Density functional theory data (GGA-PBE) for a relaxed KBePbW2 crystal.

- DOS at the Fermi energy (states/eV per atom) = 0.607
- crystal system = tetragonal
- electronic total energy (eV per atom) = -4.068

a = 5.3449 Å, b = 5.3449 Å, c = 6.3570 Å
α = 90.00°, β = 90.00°, γ = 90.00°
Fractional coordinates of all 5 atoms:
K: 0.0000 0.0000 0.0000
Be: 0.5000 0.5000 0.0000
Pb: 0.0000 0.0000 0.5000
W: 0.0000 0.5000 0.5000
W: 0.5000 0.0000 0.5000

=====

4.
Density functional theory data (GGA-PBE) for a relaxed Dy2TmTl3Se6 crystal.

- formation energy (no corrections) (eV per atom) = -1.383
- crystal system = monoclinic
- electronic total energy (eV per atom) = -4.857

a = 7.2203 Å, b = 7.2203 Å, c = 8.1418 Å
α = 98.50°, β = 98.50°, γ = 119.99°
Fractional coordinates of all 12 atoms:
Dy: 0.1666 0.8334 0.0000
Dy: 0.8334 0.1666 0.0000
Tm: 0.5000 0.5000 0.0000
Tl: 0.0000 0.0000 0.5000
Tl: 0.3324 0.6676 0.5000
Tl: 0.6676 0.3324 0.5000
Se: 0.1022 0.4324 0.7971
Se: 0.2378 0.2378 0.2037
Se: 0.4324 0.1022 0.7971
Se: 0.5676 0.8978 0.2029
Se: 0.7622 0.7622 0.7963
Se: 0.8978 0.5676 0.2029

=====

5.
Density functional theory data (GGA-PBE) for a relaxed Rb2NpInF6 crystal.

- DOS at the Fermi energy (states/eV per atom) = 0.266
- formation energy (no corrections) (eV per atom) = -2.797
- crystal system = monoclinic
- electronic total energy (eV per atom) = -5.682

a = 6.7240 Å, b = 6.9493 Å, c = 11.6275 Å
α = 90.00°, β = 124.56°, γ = 90.00°
Fractional coordinates of all 20 atoms:
Rb: 0.2289 0.0461 0.2440
Rb: 0.2289 0.4539 0.7440
Rb: 0.7711 0.5461 0.2560
Rb: 0.7711 0.9539 0.7560
Np: 0.5000 0.0000 0.0000
Np: 0.5000 0.5000 0.5000
In: 0.0000 0.0000 0.5000
In: 0.0000 0.5000 0.0000
F: 0.1790 0.1842 0.9558
F: 0.1790 0.3158 0.4558
F: 0.2515 0.7345 0.9286
F: 0.2515 0.7655 0.4286
F: 0.3831 0.0578 0.7748
F: 0.3831 0.4422 0.2748
F: 0.6169 0.5578 0.7252
F: 0.6169 0.9422 0.2252
F: 0.7485 0.2345 0.5714
F: 0.7485 0.2655 0.0714
F: 0.8210 0.6842 0.5442
F: 0.8210 0.8158 0.0442

=====

6.
Density functional theory data (GGA-PBE) for a relaxed NbCrW crystal.

- DOS at the Fermi energy (states/eV per atom) = 1.792
- crystal system = cubic
- energy above the lowest structure with this stoichiometry (eV/atom) = 0.972
- electronic total energy (eV per atom) = -9.888

a = 4.2966 Å, b = 4.2966 Å, c = 4.2966 Å
α = 60.00°, β = 60.00°, γ = 60.00°
Fractional coordinates of all 3 atoms:
Nb: 0.0000 0.0000 0.0000
Cr: 0.5000 0.5000 0.5000
W: 0.2500 0.2500 0.2500

=====

7.
Density functional theory data (GGA-PBE) for a relaxed ErZn4In crystal.

- DOS at the Fermi energy (states/eV per atom) = 0.595
- crystal system = cubic
- electronic total energy (eV per atom) = -2.208

a = 5.4284 Å, b = 5.4284 Å, c = 5.4284 Å
α = 60.00°, β = 60.00°, γ = 60.00°
Fractional coordinates of all 6 atoms:
Er: 0.0000 0.0000 0.0000
Zn: 0.3743 0.3743 0.3743
Zn: 0.3743 0.3743 0.8772
Zn: 0.3743 0.8772 0.3743
Zn: 0.8772 0.3743 0.3743
In: 0.7500 0.7500 0.7500

=====

8.
Density functional theory data (GGA-PBE) for a relaxed LaDy3Th2 crystal.

- DOS at the Fermi energy (states/eV per atom) = 1.395
- crystal system = orthorhombic
- electronic total energy (eV per atom) = -4.995

a = 6.7050 Å, b = 6.7050 Å, c = 11.3162 Å
α = 90.00°, β = 90.00°, γ = 117.88°
Fractional coordinates of all 12 atoms:
La: 0.0409 0.9591 0.7500
La: 0.9591 0.0409 0.2500
Dy: 0.0185 0.4662 0.7500
Dy: 0.4662 0.0185 0.2500
Dy: 0.4828 0.5172 0.2500
Dy: 0.5172 0.4828 0.7500
Dy: 0.5338 0.9815 0.7500
Dy: 0.9815 0.5338 0.2500
Th: 0.2490 0.2490 0.0000
Th: 0.2490 0.2490 0.5000
Th: 0.7510 0.7510 0.0000
Th: 0.7510 0.7510 0.5000